1.
A plane-wave DFT calculation with GGA-PBE was carried out for BaCuBSb2 after structural relaxation.

a b c (Å): 5.317 5.317 4.220
angles (deg): 90.00 90.00 90.00
Space group P4/mmm (No. 123)
Asymmetric unit:
Ba  0.000  0.000  0.000 (multiplicity 1)
Cu  0.500  0.500  0.000 (multiplicity 1)
B  0.500  0.500  0.500 (multiplicity 1)
Sb  0.000  0.500  0.500 (multiplicity 2)

Properties
Energy, eV per atom: -3.984
Formation energy without anion corrections, eV/atom: 0.204

2.
A plane-wave DFT calculation with GGA-PBE was carried out for TlAs2Ir after structural relaxation.

a b c (Å): 6.753 6.753 6.753
angles (deg): 90.00 90.00 90.00
Space group F-43m (No. 216)
Asymmetric unit:
Tl  0.000  0.000  0.000 (multiplicity 4)
As  0.000  0.000  0.500 (multiplicity 4)
As  0.250  0.250  0.250 (multiplicity 4)
Ir  0.250  0.250  0.750 (multiplicity 4)

Properties
Formation energy, eV per atom: 0.606
Energy, eV per atom: -4.526

3.
A plane-wave DFT calculation with GGA-PBE was carried out for Ir3AuSe after structural relaxation.

a b c (Å): 4.574 4.574 4.574
angles (deg): 90.00 90.00 90.00
Space group Pm-3m (No. 221)
Asymmetric unit:
Ir  0.000  0.000  0.500 (multiplicity 3)
Au  0.500  0.500  0.500 (multiplicity 1)
Se  0.000  0.000  0.000 (multiplicity 1)

Properties
Energy, eV per atom: -5.401
Formation energy without anion corrections, eV/atom: 1.268

4.
A plane-wave DFT calculation with GGA-PBE was carried out for MgICl after structural relaxation.

a b c (Å): 3.9689 3.9689 7.1662
angles (deg): 90.00 90.00 120.00
Space group P3m1 (No. 156)
Asymmetric unit:
Mg  0.0000  0.0000  0.0000 (multiplicity 1)
I  0.3333  0.6667  0.7538 (multiplicity 1)
Cl  0.6667  0.3333  0.1760 (multiplicity 1)

Properties
Energy, eV per atom: -3.055
Formation energy without anion corrections, eV/atom: -1.391

5.
A plane-wave DFT calculation with GGA-PBE was carried out for TmAl8Fe4 after structural relaxation.

a b c (Å): 8.666 8.666 5.014
angles (deg): 90.00 90.00 90.00
Space group I4/mmm (No. 139)
Asymmetric unit:
Tm  0.000  0.000  0.000 (multiplicity 2)
Al  0.000  0.220  0.500 (multiplicity 8)
Al  0.000  0.340  0.000 (multiplicity 8)
Fe  0.250  0.250  0.250 (multiplicity 8)

Properties
Formation energy, eV per atom: -0.430
Energy, eV per atom: -5.681

6.
A plane-wave DFT calculation with GGA-PBE was carried out for SrGeO2 after structural relaxation.

a b c (Å): 5.204 5.204 11.419
angles (deg): 90.00 90.00 90.00
Space group I-42d (No. 122)
Asymmetric unit:
Sr  0.000  0.000  0.000 (multiplicity 4)
Ge  0.000  0.000  0.500 (multiplicity 4)
O  0.213  0.250  0.625 (multiplicity 8)

Properties
Energy, eV per atom: -5.650
Formation energy without anion corrections, eV/atom: -1.596

7.
A plane-wave DFT calculation with GGA-PBE was carried out for Sm2SiTeO4 after structural relaxation.

a b c (Å): 6.284 7.176 11.216
angles (deg): 90.00 90.00 90.00
Space group Pbcm (No. 57)
Asymmetric unit:
Sm  0.112  0.037  0.250 (multiplicity 4)
Sm  0.388  0.750  0.000 (multiplicity 4)
Si  0.114  0.250  0.000 (multiplicity 4)
Te  0.405  0.084  0.750 (multiplicity 4)
O  0.050  0.733  0.616 (multiplicity 8)
O  0.271  0.075  0.035 (multiplicity 8)

Properties
Energy, eV per atom: -7.605
Formation energy without anion corrections, eV/atom: -2.876

8.
A plane-wave DFT calculation with GGA-PBE was carried out for CaAg2Rh2 after structural relaxation.

a b c (Å): 7.874 7.874 2.971
angles (deg): 90.00 90.00 90.00
Space group P4/mbm (No. 127)
Asymmetric unit:
Ca  0.000  0.000  0.000 (multiplicity 2)
Ag  0.128  0.372  0.000 (multiplicity 4)
Rh  0.169  0.669  0.500 (multiplicity 4)

Properties
Formation energy, eV per atom: 0.137
Energy, eV per atom: -4.344

9.
A plane-wave DFT calculation with GGA-PBE was carried out for ZnGaN after structural relaxation.

a b c (Å): 3.207 5.533 10.198
angles (deg): 90.00 90.00 90.00
Space group Cmc2_1 (No. 36)
Asymmetric unit:
Zn  0.000  0.173  0.000 (multiplicity 4)
Ga  0.000  0.146  0.243 (multiplicity 4)
N  0.000  0.188  0.809 (multiplicity 4)

Properties
Energy, eV per atom: -4.276
Formation energy without anion corrections, eV/atom: -0.067

10.
A plane-wave DFT calculation with GGA-PBE was carried out for Cs2ScBr2F4 after structural relaxation.

a b c (Å): 7.447 7.447 8.396
angles (deg): 90.00 90.00 90.00
Space group I4/mmm (No. 139)
Asymmetric unit:
Cs  0.000  0.500  0.250 (multiplicity 4)
Sc  0.000  0.000  0.000 (multiplicity 2)
Br  0.000  0.000  0.336 (multiplicity 4)
F  0.188  0.188  0.000 (multiplicity 8)

Properties
Energy, eV per atom: -4.686
Formation energy without anion corrections, eV/atom: -2.589

11.
A plane-wave DFT calculation with GGA-PBE was carried out for Ba2GeAu3 after structural relaxation.

a b c (Å): 4.453 4.761 8.219
angles (deg): 90.00 90.00 90.00
Space group Pmm2 (No. 25)
Asymmetric unit:
Ba  0.000  0.000  0.000 (multiplicity 1)
Ba  0.000  0.500  0.490 (multiplicity 1)
Ge  0.500  0.500  0.812 (multiplicity 1)
Au  0.500  0.000  0.333 (multiplicity 1)
Au  0.500  0.000  0.684 (multiplicity 1)
Au  0.500  0.500  0.136 (multiplicity 1)

Properties
Formation energy, eV per atom: -0.663
Energy, eV per atom: -3.712

12.
A plane-wave DFT calculation with GGA-PBE was carried out for LiTa2Br after structural relaxation.

a b c (Å): 2.960 4.594 5.397
angles (deg): 90.00 90.00 90.00
Space group Pmmm (No. 47)
Asymmetric unit:
Li  0.000  0.000  0.000 (multiplicity 1)
Ta  0.500  0.500  0.241 (multiplicity 2)
Br  0.000  0.000  0.500 (multiplicity 1)

Properties
Energy, eV per atom: -6.120
Formation energy without anion corrections, eV/atom: 0.703

no.,spin magnetization (μB/f.u.)
1,0.000
2,0.000
3,0.000
4,0.000
5,5.376
6,0.000
7,0.000
8,0.000
9,0.000
10,0.000
11,0.000
12,0.000